Entry 1:
Material: Ce2NdRh
Method: DFT, PBE
State: optimized geometry

Output
**Size of the total moment**: 0.22 μB per atom
**Energy relative to the lowest polymorph listed for this composition**: 0.00 eV per formula unit
**Formation energy**: -1.49 eV per formula unit
**Crystal system**: orthorhombic

Cell: 14.2131 9.8328 6.1721 Å, 90.00 90.00 90.00°
With the nearest neighbours (Å) after each atom.
Space group Pnma (No. 62)
One atom of each set of equivalent atoms:
Ce: 0.0359 0.0555 0.2471 [8 per cell]  2 Rh 2.76-2.78
Ce: 0.2134 0.5592 0.9370 [8 per cell]  2 Rh 2.76
Nd: 0.1043 0.2500 0.7372 [4 per cell]  3 Rh 3.10-3.29
Nd: 0.1423 0.7500 0.4494 [4 per cell]  3 Rh 3.11-3.34
Rh: 0.0720 0.7500 0.9660 [4 per cell]  4 Ce 2.76-2.78
Rh: 0.1756 0.2500 0.2303 [4 per cell]  4 Ce 2.76

=====

Entry 2:
Material: CuRuW
Method: DFT, PBE
State: optimized geometry

Output
**Size of the total moment**: 0.00 μB per atom
**Energy relative to the lowest polymorph listed for this composition**: 1.72 eV per formula unit
**Formation energy**: 2.05 eV per formula unit
**Crystal system**: cubic

Cell: 5.8676 5.8676 5.8676 Å, 90.00 90.00 90.00°
With the nearest neighbours (Å) after each atom.
Space group F-43m (No. 216)
One atom of each set of equivalent atoms:
Cu: 0.0000 0.0000 0.0000 [4 per cell]  4 Ru 2.54
Ru: 0.2500 0.2500 0.7500 [4 per cell]  4 W 2.54, 4 Cu 2.54
W: 0.0000 0.0000 0.5000 [4 per cell]  4 Ru 2.54

=====

Entry 3:
Material: SrMg2Tc
Method: DFT, PBE
State: optimized geometry

Output
**Size of the total moment**: 0.34 μB per atom
**Energy relative to the lowest polymorph listed for this composition**: 0.62 eV per formula unit
**Formation energy**: 2.07 eV per formula unit
**Crystal system**: monoclinic

Cell: 9.6087 3.2936 6.4445 Å, 90.00 99.40 90.00°
With the nearest neighbours (Å) after each atom.
Space group Cm (No. 8)
One atom of each set of equivalent atoms:
Sr: 0.0000 0.0000 0.0000 [2 per cell]  3 Tc 3.23-3.34, 2 Sr 3.29, 5 Mg 3.30-3.60
Mg: 0.2292 0.0000 0.6370 [2 per cell]  2 Tc 2.77, 3 Mg 2.91-3.01
Mg: 0.4801 0.0000 0.4384 [2 per cell]  3 Tc 2.82-2.85, 3 Mg 2.91-3.01
Tc: 0.2453 0.5000 0.2965 [2 per cell]  5 Mg 2.77-2.85

=====

Entry 4:
Material: Cs3Hg2As3
Method: DFT, PBE
State: optimized geometry

Output
**Size of the total moment**: 0.00 μB per atom
**Formation energy**: -2.27 eV per formula unit
**Crystal system**: orthorhombic

Cell: 4.8727 13.7196 17.7496 Å, 90.00 90.00 90.00°
With the nearest neighbours (Å) after each atom.
Space group Cmcm (No. 63)
One atom of each set of equivalent atoms:
Cs: 0.0000 0.0031 0.2500 [4 per cell]  4 Hg 3.68, 5 As 3.79-3.95
Cs: 0.0000 0.3267 0.6014 [8 per cell]  5 As 3.64-3.94, 4 Hg 3.84-4.03
Hg: 0.0000 0.3947 0.1194 [8 per cell]  3 As 2.72-2.83
As: 0.0000 0.0725 0.5421 [8 per cell]  1 As 2.49
As: 0.0000 0.2911 0.2500 [4 per cell]  2 Hg 2.72

=====

Entry 5:
Material: Th2TlSe
Method: DFT, PBE
State: optimized geometry

Output
**Size of the total moment**: 0.00 μB per atom
**Energy relative to the lowest polymorph listed for this composition**: 0.19 eV per formula unit
**Energy relative to the elements, uncorrected**: -706.6 meV/atom
**Crystal system**: trigonal

Cell: 3.9115 3.9115 26.6482 Å, 90.00 90.00 120.00°
With the nearest neighbours (Å) after each atom.
Space group R3m (No. 160, hexagonal axes)
One atom of each set of equivalent atoms:
Th: 0.0000 0.0000 0.0000 [3 per cell]  3 Se 2.96
Th: 0.0000 0.0000 0.1893 [3 per cell]  3 Se 2.97
Tl: 0.0000 0.0000 0.7611 [3 per cell]  6 Th 3.38-3.39
Se: 0.0000 0.0000 0.5951 [3 per cell]  6 Th 2.96-2.97

=====

Entry 6:
Material: AlGa2Au
Method: DFT, PBE
State: optimized geometry

Output
**Size of the total moment**: 0.00 μB per atom
**Formation energy**: -0.37 eV per formula unit
**Crystal system**: tetragonal

Cell: 3.9374 3.9374 18.9382 Å, 90.00 90.00 90.00°
With the nearest neighbours (Å) after each atom.
Space group I-42d (No. 122)
One atom of each set of equivalent atoms:
Al: 0.0000 0.0000 0.0000 [4 per cell]  4 Ga 2.74, 4 Au 2.78
Ga: 0.2431 0.2500 0.1250 [8 per cell]  2 Al 2.74, 4 Ga 2.75-2.82, 2 Au 2.76
Au: 0.0000 0.0000 0.5000 [4 per cell]  4 Ga 2.76, 4 Al 2.78

=====

Entry 7:
Material: ZnSbOs2
Method: DFT, PBE
State: optimized geometry

Output
**Size of the total moment**: 0.00 μB per atom
**Energy relative to the lowest polymorph listed for this composition**: 1.04 eV per formula unit
**Energy relative to the elements, uncorrected**: 599.5 meV/atom
**Crystal system**: monoclinic

Cell: 2.9725 4.3615 5.2791 Å, 90.00 94.76 90.00°
With the nearest neighbours (Å) after each atom.
Space group P2/m (No. 10)
One atom of each set of equivalent atoms:
Zn: 0.0000 0.0000 0.0000 [1 per cell]  4 Os 2.58
Sb: 0.5000 0.0000 0.5000 [1 per cell]  4 Os 2.70, 2 Zn 2.92, 2 Sb 2.97
Os: 0.3121 0.5000 0.2089 [2 per cell]  2 Os 2.55-2.76, 2 Zn 2.58, 2 Sb 2.70

=====

Entry 8:
Material: Y3Cd8Ag3
Method: DFT, PBE
State: optimized geometry

Output
**Size of the total moment**: 0.00 μB per atom
**Formation energy**: -3.06 eV per formula unit
**Crystal system**: orthorhombic

Cell: 4.8324 10.4832 12.6963 Å, 90.00 90.00 90.00°
With the nearest neighbours (Å) after each atom.
Space group Immm (No. 71)
One atom of each set of equivalent atoms:
Y: 0.0000 0.0000 0.0000 [2 per cell]  12 Cd 3.30-3.42, 2 Y 3.67
Y: 0.0000 0.0000 0.2887 [4 per cell]  2 Ag 3.11, 8 Cd 3.37-3.46
Cd: 0.0000 0.2811 0.1375 [8 per cell]  3 Cd 2.87-2.97, 3 Ag 2.88-3.07
Cd: 0.0000 0.3669 0.3606 [8 per cell]  4 Cd 2.79-2.97, 1 Ag 2.89
Ag: 0.0000 0.1494 0.5000 [4 per cell]  3 Ag 2.88-3.13, 6 Cd 2.89-3.07, 2 Y 3.11
Ag: 0.0000 0.5000 0.0000 [2 per cell]  4 Ag 2.88, 4 Cd 2.88